Entry 1:
This record from the Alexandria database describes an optimized crystal structure of Tm5NiBi4. The functional is PBE-GGA.

Values from the calculation:
As for the total magnetization: 0.01 μB/cell. Its density is 9.9 g/cm³. Its final energy is -4.918 eV/atom.

Cell: 6.227 7.510 7.510 Å, 80.10 65.51 65.51°
Sites, in units of the cell vectors:
Bi  0.218  0.210  0.389
Ni  0.977  0.000  0.000
Tm  0.737  0.183  0.376
Tm  0.399  0.000  0.000
Bi  0.428  0.389  0.790
Tm  0.919  0.376  0.817
Tm  0.295  0.817  0.624
Tm  0.113  0.624  0.183
Bi  0.817  0.790  0.611
Bi  0.607  0.611  0.210

---

Entry 2:
This record from the Alexandria database describes an optimized crystal structure of TmNiBi. The functional is PBE-GGA.

Values from the calculation:
As for the total magnetization: 0.00 μB/cell. Its density is 10.8 g/cm³. Its final energy is -5.208 eV/atom.

Cell: 4.552 4.552 7.913 Å, 106.70 90.00 120.00°
Sites, in units of the cell vectors:
Tm  0.257  0.514  0.770
Bi  0.000  0.000  0.000
Bi  0.500  0.000  0.500
Ni  0.130  0.261  0.391
Tm  0.743  0.486  0.230
Ni  0.870  0.739  0.609

---

Entry 3:
This record from the Alexandria database describes an optimized crystal structure of TmNiBi. The functional is PBE-GGA.

Values from the calculation:
As for the total magnetization: 0.00 μB/cell. Its density is 10.9 g/cm³. Its final energy is -5.368 eV/atom.

Cell: 4.550 4.550 4.550 Å, 60.00 60.00 60.00°
Sites, in units of the cell vectors:
Bi  0.000  0.000  0.000
Ni  0.750  0.750  0.750
Tm  0.500  0.500  0.500

---

Entry 4:
This record from the Alexandria database describes an optimized crystal structure of Tm7Ni2Bi2. The functional is PBE-GGA.

Values from the calculation:
As for the total magnetization: 0.00 μB/cell. Its density is 9.9 g/cm³. Its final energy is -5.055 eV/atom.

Cell: 3.667 9.550 9.550 Å, 62.14 78.93 78.93°
Sites, in units of the cell vectors:
Tm  0.845  0.402  0.907
Bi  0.000  0.767  0.233
Tm  0.816  0.088  0.281
Tm  0.184  0.719  0.912
Ni  0.262  0.329  0.147
Tm  0.635  0.465  0.265
Ni  0.738  0.853  0.671
Tm  0.155  0.093  0.598
Tm  0.365  0.735  0.535
Tm  0.500  0.039  0.961
Bi  0.500  0.364  0.636

---

Entry 5:
This record from the Alexandria database describes an optimized crystal structure of TmNiBi. The functional is PBE-GGA.

Values from the calculation:
As for the total magnetization: 0.00 μB/cell. Its density is 10.8 g/cm³. Its final energy is -5.142 eV/atom.

Cell: 4.086 4.363 4.363 Å, 120.00 90.00 90.00°
Sites, in units of the cell vectors:
Tm  0.706  0.667  0.333
Ni  0.083  0.000  0.000
Bi  0.211  0.333  0.667

---

Entry 6:
This record from the Alexandria database describes an optimized crystal structure of U3Ni3Bi4. The functional is PBE-GGA.

Values from the calculation:
As for the total magnetization: 11.98 μB/cell. Its density is 12.8 g/cm³. Its final energy is -6.803 eV/atom.

Cell: 8.338 8.338 8.338 Å, 109.47 109.47 109.47°
Sites, in units of the cell vectors:
Bi  0.500  0.831  0.500
Bi  0.669  0.169  0.169
Ni  0.125  0.750  0.375
Ni  0.250  0.375  0.625
Ni  0.875  0.625  0.750
U  0.625  0.750  0.875
U  0.125  0.375  0.250
U  0.250  0.875  0.125
Bi  0.169  0.669  0.669
U  0.875  0.250  0.625
U  0.375  0.125  0.750
U  0.750  0.625  0.375
Ni  0.750  0.125  0.875
Bi  0.500  0.331  0.500
Bi  0.000  0.000  0.331
Ni  0.625  0.875  0.250
Bi  0.331  0.500  0.000
Bi  0.000  0.000  0.831
Ni  0.375  0.250  0.125
Bi  0.831  0.500  0.000

---

Entry 7:
This record from the Alexandria database describes an optimized crystal structure of VNi3Bi. The functional is PBE-GGA.

Values from the calculation:
The polymorph energy (0 for the lowest one) is 0 kJ/mol of formula units. As for the total magnetization: 1.18 μB/cell. Its density is 8.4 g/cm³. Its final energy is -5.285 eV/atom.

Cell: 4.423 4.423 4.423 Å, 90.00 90.00 90.00°
Sites, in units of the cell vectors:
Ni  0.000  0.500  0.000
Ni  0.500  0.000  0.000
Bi  0.500  0.500  0.500
V  0.000  0.000  0.000
Ni  0.000  0.000  0.500

---

Entry 8:
This record from the Alexandria database describes an optimized crystal structure of V2Ni2Bi. The functional is PBE-GGA.

Values from the calculation:
As for the total magnetization: 4.29 μB/cell. Its density is 9.3 g/cm³. Its final energy is -6.505 eV/atom.

Cell: 6.662 6.662 3.436 Å, 90.00 90.00 90.00°
Sites, in units of the cell vectors:
V  0.650  0.850  0.500
Ni  0.126  0.374  0.000
V  0.150  0.650  0.500
Bi  0.000  0.000  0.000
V  0.350  0.150  0.500
Ni  0.874  0.626  0.000
V  0.850  0.350  0.500
Ni  0.374  0.874  0.000
Bi  0.500  0.500  0.000
Ni  0.626  0.126  0.000

---

Entry 9:
This record from the Alexandria database describes an optimized crystal structure of VNiBi2. The functional is PBE-GGA.

Values from the calculation:
As for the total magnetization: 5.83 μB/cell. Its density is 9.7 g/cm³. Its final energy is -5.123 eV/atom.

Cell: 7.537 7.537 6.209 Å, 52.63 52.63 90.00°
Sites, in units of the cell vectors:
Bi  0.660  0.125  0.250
Ni  0.000  0.000  0.000
Ni  0.750  0.250  0.500
V  0.250  0.750  0.500
Bi  0.875  0.910  0.750
Bi  0.090  0.625  0.250
V  0.500  0.500  0.000
Bi  0.375  0.340  0.750

---

Entry 10:
This record from the Alexandria database describes an optimized crystal structure of VNiBi2. The functional is PBE-GGA.

Values from the calculation:
As for the total magnetization: 3.28 μB/cell. Its density is 9.2 g/cm³. Its final energy is -5.064 eV/atom.

Cell: 3.455 3.455 9.450 Å, 79.47 79.47 60.00°
Sites, in units of the cell vectors:
Bi  0.101  0.101  0.697
V  0.000  0.000  0.000
Bi  0.899  0.899  0.303
Ni  0.500  0.500  0.500

---

Entry 11:
This record from the Alexandria database describes an optimized crystal structure of VNiBi2. The functional is PBE-GGA.

Values from the calculation:
As for the total magnetization: 3.56 μB/cell. Its density is 10.4 g/cm³. Its final energy is -5.222 eV/atom.

Cell: 4.914 4.914 4.914 Å, 60.00 60.00 60.00°
Sites, in units of the cell vectors:
Ni  0.500  0.500  0.500
Bi  0.750  0.750  0.750
Bi  0.250  0.250  0.250
V  0.000  0.000  0.000

---

Entry 12:
This record from the Alexandria database describes an optimized crystal structure of V2ZnNiBi. The functional is PBE-GGA.

Values from the calculation:
As for the total magnetization: 5.36 μB/cell. Its density is 7.4 g/cm³. Its final energy is -4.957 eV/atom.

Cell: 4.720 4.377 4.720 Å, 90.00 90.00 90.00°
Sites, in units of the cell vectors:
Zn  0.000  0.000  0.000
V  0.000  0.000  0.500
Ni  0.000  0.500  0.000
Bi  0.500  0.500  0.500
V  0.500  0.000  0.000

---

Entry 13:
This record from the Alexandria database describes an optimized crystal structure of Ni3BiW. The functional is PBE-GGA.

Values from the calculation:
The polymorph energy (0 for the lowest one) is 0 kJ/mol of formula units. As for the total magnetization: 0.00 μB/cell. Its density is 9.8 g/cm³. Its final energy is -5.730 eV/atom.

Cell: 4.591 4.591 4.591 Å, 90.00 90.00 90.00°
Sites, in units of the cell vectors:
Ni  0.000  0.500  0.000
W  0.000  0.000  0.000
Bi  0.500  0.500  0.500
Ni  0.000  0.000  0.500
Ni  0.500  0.000  0.000

---

| no. | calculated volume (Å³/atom) | DFT formation energy (eV per atom) |
| --- | --- | --- |
| 1 | 29.1 | -0.5518 |
| 2 | 22.3 | -0.4970 |
| 3 | 22.2 | -0.6564 |
| 4 | 26.2 | -0.4532 |
| 5 | 22.5 | -0.4308 |
| 6 | 22.3 | -0.1293 |
| 7 | 17.3 | 0.7837 |
| 8 | 15.3 | 0.2316 |
| 9 | 22.6 | 0.5421 |
| 10 | 23.9 | 0.6012 |
| 11 | 21.0 | 0.4434 |
| 12 | 19.5 | 0.8772 |
| 13 | 19.3 | 1.1059 |